Record 1
# HfSnSe4 (GGA-PBE, relaxed)
data_HfSnSe4
_chemical_formula_sum 'Hf2 Sn2 Se8'
_cell_length_a 14.049
_cell_length_b 3.770
_cell_length_c 6.758
_cell_angle_alpha 90.00
_cell_angle_beta 97.79
_cell_angle_gamma 90.00
_symmetry_space_group_name_H-M 'C 1 2/m 1'
_symmetry_Int_Tables_number 12
loop_
_symmetry_equiv_pos_as_xyz
'x,y,z'
'-x,-y,-z'
'-x,y,-z'
'x,-y,z'
'x+1/2,y+1/2,z'
'-x+1/2,-y+1/2,-z'
'-x+1/2,y+1/2,-z'
'x+1/2,-y+1/2,z'
loop_
_atom_site_label
_atom_site_type_symbol
_atom_site_fract_x
_atom_site_fract_y
_atom_site_fract_z
Hf1 Hf 0.000 0.000 0.000
Sn1 Sn 0.000 0.500 0.500
Se1 Se 0.114 0.000 0.360
Se2 Se 0.114 0.500 0.875
# - E_form (uncorrected): -799 meV per atom
# - D(E_F): 2.9 states/eV per cell
# - Spin magnetization: 0.00 μB per cell
# - Mass density: 5.74 g cm⁻³

***

Record 2
# HfSnSe2 (GGA-PBE, relaxed)
data_HfSnSe2
_chemical_formula_sum 'Hf4 Sn4 Se8'
_cell_length_a 6.862
_cell_length_b 6.862
_cell_length_c 10.911
_cell_angle_alpha 90.00
_cell_angle_beta 90.00
_cell_angle_gamma 90.00
_symmetry_space_group_name_H-M 'I -4 2 d'
_symmetry_Int_Tables_number 122
_symmetry_space_group_name_Hall 'I -4 2bw'
loop_
_atom_site_label
_atom_site_type_symbol
_atom_site_fract_x
_atom_site_fract_y
_atom_site_fract_z
Hf1 Hf 0.000 0.000 0.000
Sn1 Sn 0.000 0.000 0.500
Se1 Se 0.192 0.250 0.125
# - E_form (uncorrected): -322 meV per atom
# - D(E_F): 16.3 states/eV per cell
# - Spin magnetization: 0.00 μB per cell
# - Mass density: 5.88 g cm⁻³

***

Record 3
# Hf3SnSe (GGA-PBE, relaxed)
data_Hf3SnSe
_chemical_formula_sum 'Hf12 Sn4 Se4'
_cell_length_a 3.720
_cell_length_b 12.176
_cell_length_c 9.617
_cell_angle_alpha 90.00
_cell_angle_beta 90.00
_cell_angle_gamma 90.00
_symmetry_space_group_name_H-M 'C m c m'
_symmetry_Int_Tables_number 63
_symmetry_space_group_name_Hall '-C 2c 2'
loop_
_atom_site_label
_atom_site_type_symbol
_atom_site_fract_x
_atom_site_fract_y
_atom_site_fract_z
Hf1 Hf 0.000 0.059 0.250
Hf2 Hf 0.000 0.347 0.051
Sn1 Sn 0.000 0.257 0.750
Se1 Se 0.000 0.000 0.000
# - E_form (uncorrected): -508 meV per atom
# - D(E_F): 4.9 states/eV per cell
# - Spin magnetization: 0.00 μB per cell
# - Mass density: 11.18 g cm⁻³
# - Distance to the lowest polymorph of the same formula: 0.000 eV per atom

***

Record 4
# Hf2Sn2Se7 (GGA-PBE, relaxed)
data_Hf2Sn2Se7
_chemical_formula_sum 'Hf4 Sn4 Se14'
_cell_length_a 3.869
_cell_length_b 15.825
_cell_length_c 8.740
_cell_angle_alpha 90.00
_cell_angle_beta 90.00
_cell_angle_gamma 90.00
_symmetry_space_group_name_H-M 'I m m 2'
_symmetry_Int_Tables_number 44
loop_
_symmetry_equiv_pos_as_xyz
'x,y,z'
'-x,-y,z'
'-x,y,z'
'x,-y,z'
'x+1/2,y+1/2,z+1/2'
'-x+1/2,-y+1/2,z+1/2'
'-x+1/2,y+1/2,z+1/2'
'x+1/2,-y+1/2,z+1/2'
loop_
_atom_site_label
_atom_site_type_symbol
_atom_site_fract_x
_atom_site_fract_y
_atom_site_fract_z
Hf1 Hf 0.000 0.000 0.000
Hf2 Hf 0.000 0.500 0.047
Sn1 Sn 0.000 0.232 0.726
Se1 Se 0.000 0.115 0.486
Se2 Se 0.000 0.180 0.073
Se3 Se 0.000 0.411 0.319
Se4 Se 0.000 0.500 0.709
# - E_form (uncorrected): -754 meV per atom
# - D(E_F): 9.1 states/eV per cell
# - Spin magnetization: 0.00 μB per cell
# - Mass density: 7.12 g cm⁻³

***

Record 5
# HfSnSe (GGA-PBE, relaxed)
data_HfSnSe
_chemical_formula_sum 'Hf1 Sn1 Se1'
_cell_length_a 3.5087
_cell_length_b 3.5087
_cell_length_c 6.6844
_cell_angle_alpha 90.00
_cell_angle_beta 90.00
_cell_angle_gamma 120.00
_symmetry_space_group_name_H-M 'P 3 m 1'
_symmetry_Int_Tables_number 156
loop_
_symmetry_equiv_pos_as_xyz
'x,y,z'
'-y,x-y,z'
'-x+y,-x,z'
'-y,-x,z'
'-x+y,y,z'
'x,x-y,z'
loop_
_atom_site_label
_atom_site_type_symbol
_atom_site_fract_x
_atom_site_fract_y
_atom_site_fract_z
Hf1 Hf 0.0000 0.0000 0.0000
Sn1 Sn 0.3333 0.6667 0.6550
Se1 Se 0.6667 0.3333 0.2541
# - E_form (uncorrected): -573 meV per atom
# - D(E_F): 1.8 states/eV per cell
# - Spin magnetization: 0.00 μB per cell
# - Mass density: 8.76 g cm⁻³

***

Record 6
# HfSnSe (GGA-PBE, relaxed)
data_HfSnSe
_chemical_formula_sum 'Hf2 Sn2 Se2'
_cell_length_a 3.522
_cell_length_b 6.470
_cell_length_c 7.060
_cell_angle_alpha 89.38
_cell_angle_beta 75.76
_cell_angle_gamma 89.81
_symmetry_space_group_name_H-M 'P -1'
_symmetry_Int_Tables_number 2
loop_
_symmetry_equiv_pos_as_xyz
'x,y,z'
'-x,-y,-z'
loop_
_atom_site_label
_atom_site_type_symbol
_atom_site_fract_x
_atom_site_fract_y
_atom_site_fract_z
Hf1 Hf 0.243 0.236 0.012
Sn1 Sn 0.405 0.585 0.689
Se1 Se 0.132 0.903 0.240
# - E_form (uncorrected): -565 meV per atom
# - D(E_F): 3.8 states/eV per cell
# - Spin magnetization: 0.00 μB per cell
# - Mass density: 8.01 g cm⁻³

***

Record 7
# Hf2Sn2Se (GGA-PBE, relaxed)
data_Hf2Sn2Se
_chemical_formula_sum 'Hf4 Sn4 Se2'
_cell_length_a 7.249
_cell_length_b 7.249
_cell_length_c 4.337
_cell_angle_alpha 90.00
_cell_angle_beta 90.00
_cell_angle_gamma 90.00
_symmetry_space_group_name_H-M 'P 4/m b m'
_symmetry_Int_Tables_number 127
_symmetry_space_group_name_Hall '-P 4 2ab'
loop_
_atom_site_label
_atom_site_type_symbol
_atom_site_fract_x
_atom_site_fract_y
_atom_site_fract_z
Hf1 Hf 0.161 0.339 0.000
Sn1 Sn 0.143 0.643 0.500
Se1 Se 0.000 0.000 0.000
# - E_form (uncorrected): -397 meV per atom
# - D(E_F): 6.6 states/eV per cell
# - Spin magnetization: 0.00 μB per cell
# - Mass density: 9.81 g cm⁻³
# - Distance to the lowest polymorph of the same formula: 0.000 eV per atom

***

Record 8
# HfSn2Se (GGA-PBE, relaxed)
data_HfSn2Se
_chemical_formula_sum 'Hf4 Sn8 Se4'
_cell_length_a 6.621
_cell_length_b 6.621
_cell_length_c 12.773
_cell_angle_alpha 90.00
_cell_angle_beta 90.00
_cell_angle_gamma 90.00
_symmetry_space_group_name_H-M 'I -4 2 d'
_symmetry_Int_Tables_number 122
_symmetry_space_group_name_Hall 'I -4 2bw'
loop_
_atom_site_label
_atom_site_type_symbol
_atom_site_fract_x
_atom_site_fract_y
_atom_site_fract_z
Hf1 Hf 0.000 0.000 0.000
Sn1 Sn 0.242 0.250 0.625
Se1 Se 0.000 0.000 0.500
# - E_form (uncorrected): 448 meV per atom
# - D(E_F): 6.3 states/eV per cell
# - Spin magnetization: 0.00 μB per cell
# - Mass density: 5.87 g cm⁻³

***

Record 9
# Hf2SnSe (GGA-PBE, relaxed)
data_Hf2SnSe
_chemical_formula_sum 'Hf6 Sn3 Se3'
_cell_length_a 3.3488
_cell_length_b 3.3488
_cell_length_c 28.9184
_cell_angle_alpha 90.00
_cell_angle_beta 90.00
_cell_angle_gamma 120.00
_symmetry_space_group_name_H-M 'R -3 m'
_symmetry_Int_Tables_number 166
_symmetry_space_group_name_Hall '-R 3 2"'
loop_
_atom_site_label
_atom_site_type_symbol
_atom_site_fract_x
_atom_site_fract_y
_atom_site_fract_z
Hf1 Hf 0.0000 0.0000 0.0990
Sn1 Sn 0.0000 0.0000 0.0000
Se1 Se 0.0000 0.0000 0.5000
# - E_form (uncorrected): -213 meV per atom
# - D(E_F): 9.1 states/eV per cell
# - Spin magnetization: 0.00 μB per cell
# - Mass density: 9.84 g cm⁻³
# - Distance to the lowest polymorph of the same formula: 0.142 eV per atom

***

Record 10
# Hf3SnSe (GGA-PBE, relaxed)
data_Hf3SnSe
_chemical_formula_sum 'Hf3 Sn1 Se1'
_cell_length_a 4.934
_cell_length_b 4.934
_cell_length_c 4.934
_cell_angle_alpha 90.00
_cell_angle_beta 90.00
_cell_angle_gamma 90.00
_symmetry_space_group_name_H-M 'P m -3 m'
_symmetry_Int_Tables_number 221
_symmetry_space_group_name_Hall '-P 4 2 3'
loop_
_atom_site_label
_atom_site_type_symbol
_atom_site_fract_x
_atom_site_fract_y
_atom_site_fract_z
Hf1 Hf 0.000 0.000 0.500
Sn1 Sn 0.500 0.500 0.500
Se1 Se 0.000 0.000 0.000
# - E_form (uncorrected): 112 meV per atom
# - D(E_F): 2.6 states/eV per cell
# - Spin magnetization: 0.00 μB per cell
# - Mass density: 10.13 g cm⁻³
# - Distance to the lowest polymorph of the same formula: 0.619 eV per atom

***

Record 11
# Hf2SnSe2 (GGA-PBE, relaxed)
data_Hf2SnSe2
_chemical_formula_sum 'Hf4 Sn2 Se4'
_cell_length_a 7.820
_cell_length_b 7.820
_cell_length_c 3.410
_cell_angle_alpha 90.00
_cell_angle_beta 90.00
_cell_angle_gamma 90.00
_symmetry_space_group_name_H-M 'P 4/m b m'
_symmetry_Int_Tables_number 127
_symmetry_space_group_name_Hall '-P 4 2ab'
loop_
_atom_site_label
_atom_site_type_symbol
_atom_site_fract_x
_atom_site_fract_y
_atom_site_fract_z
Hf1 Hf 0.149 0.351 0.000
Sn1 Sn 0.000 0.000 0.000
Se1 Se 0.136 0.636 0.500
# - E_form (uncorrected): -718 meV per atom
# - D(E_F): 2.4 states/eV per cell
# - Spin magnetization: 0.00 μB per cell
# - Mass density: 10.09 g cm⁻³

***

Record 12
# Hf2Sn2Se (GGA-PBE, relaxed)
data_Hf2Sn2Se
_chemical_formula_sum 'Hf4 Sn4 Se2'
_cell_length_a 3.997
_cell_length_b 3.997
_cell_length_c 14.817
_cell_angle_alpha 90.00
_cell_angle_beta 90.00
_cell_angle_gamma 90.00
_symmetry_space_group_name_H-M 'I 4/m m m'
_symmetry_Int_Tables_number 139
_symmetry_space_group_name_Hall '-I 4 2'
loop_
_atom_site_label
_atom_site_type_symbol
_atom_site_fract_x
_atom_site_fract_y
_atom_site_fract_z
Hf1 Hf 0.000 0.000 0.099
Sn1 Sn 0.000 0.500 0.250
Se1 Se 0.000 0.000 0.500
# - E_form (uncorrected): -110 meV per atom
# - D(E_F): 3.0 states/eV per cell
# - Spin magnetization: 0.00 μB per cell
# - Mass density: 9.45 g cm⁻³
# - Distance to the lowest polymorph of the same formula: 0.288 eV per atom

***

Record 13
# Hf7Sn2Se2 (GGA-PBE, relaxed)
data_Hf7Sn2Se2
_chemical_formula_sum 'Hf14 Sn4 Se4'
_cell_length_a 7.231
_cell_length_b 10.511
_cell_length_c 7.399
_cell_angle_alpha 90.00
_cell_angle_beta 106.67
_cell_angle_gamma 90.00
_symmetry_space_group_name_H-M 'C 1 2/m 1'
_symmetry_Int_Tables_number 12
loop_
_symmetry_equiv_pos_as_xyz
'x,y,z'
'-x,-y,-z'
'-x,y,-z'
'x,-y,z'
'x+1/2,y+1/2,z'
'-x+1/2,-y+1/2,-z'
'-x+1/2,y+1/2,-z'
'x+1/2,-y+1/2,z'
loop_
_atom_site_label
_atom_site_type_symbol
_atom_site_fract_x
_atom_site_fract_y
_atom_site_fract_z
Hf1 Hf 0.000 0.000 0.000
Hf2 Hf 0.102 0.500 0.850
Hf3 Hf 0.180 0.264 0.174
Sn1 Sn 0.000 0.337 0.500
Se1 Se 0.205 0.000 0.747
# - E_form (uncorrected): -285 meV per atom
# - D(E_F): 15.1 states/eV per cell
# - Spin magnetization: 0.00 μB per cell
# - Mass density: 10.14 g cm⁻³

***

Record 14
# Hf2SnSe (GGA-PBE, relaxed)
data_Hf2SnSe
_chemical_formula_sum 'Hf8 Sn4 Se4'
_cell_length_a 6.191
_cell_length_b 6.191
_cell_length_c 12.650
_cell_angle_alpha 90.00
_cell_angle_beta 90.00
_cell_angle_gamma 90.00
_symmetry_space_group_name_H-M 'I -4 2 d'
_symmetry_Int_Tables_number 122
_symmetry_space_group_name_Hall 'I -4 2bw'
loop_
_atom_site_label
_atom_site_type_symbol
_atom_site_fract_x
_atom_site_fract_y
_atom_site_fract_z
Hf1 Hf 0.226 0.250 0.125
Sn1 Sn 0.000 0.000 0.500
Se1 Se 0.000 0.000 0.000
# - E_form (uncorrected): 125 meV per atom
# - D(E_F): 13.3 states/eV per cell
# - Spin magnetization: 0.00 μB per cell
# - Mass density: 7.60 g cm⁻³
# - Distance to the lowest polymorph of the same formula: 0.480 eV per atom

***

Record 15
# HfSnTeSe2 (GGA-PBE, relaxed)
data_HfSnTeSe2
_chemical_formula_sum 'Hf1 Sn1 Te1 Se2'
_cell_length_a 5.094
_cell_length_b 5.094
_cell_length_c 5.818
_cell_angle_alpha 90.00
_cell_angle_beta 90.00
_cell_angle_gamma 90.00
_symmetry_space_group_name_H-M 'P 4/m m m'
_symmetry_Int_Tables_number 123
_symmetry_space_group_name_Hall '-P 4 2'
loop_
_atom_site_label
_atom_site_type_symbol
_atom_site_fract_x
_atom_site_fract_y
_atom_site_fract_z
Hf1 Hf 0.000 0.000 0.000
Sn1 Sn 0.500 0.500 0.500
Te1 Te 0.000 0.000 0.500
Se1 Se 0.000 0.500 0.000
# - E_form (uncorrected): -468 meV per atom
# - D(E_F): 1.0 states/eV per cell
# - Spin magnetization: 0.00 μB per cell
# - Mass density: 6.41 g cm⁻³

***

Record 16
# SrHfSe3 (GGA-PBE, relaxed)
data_SrHfSe3
_chemical_formula_sum 'Sr1 Hf1 Se3'
_cell_length_a 5.211
_cell_length_b 5.211
_cell_length_c 5.211
_cell_angle_alpha 90.00
_cell_angle_beta 90.00
_cell_angle_gamma 90.00
_symmetry_space_group_name_H-M 'P m -3 m'
_symmetry_Int_Tables_number 221
_symmetry_space_group_name_Hall '-P 4 2 3'
loop_
_atom_site_label
_atom_site_type_symbol
_atom_site_fract_x
_atom_site_fract_y
_atom_site_fract_z
Sr1 Sr 0.000 0.000 0.000
Hf1 Hf 0.500 0.500 0.500
Se1 Se 0.000 0.500 0.500
# - E_form (uncorrected): -1428 meV per atom
# - D(E_F): 0.0 states/eV per cell
# - Spin magnetization: 0.00 μB per cell
# - Mass density: 5.90 g cm⁻³
# - Distance to the lowest polymorph of the same formula: 0.182 eV per atom

***

Record 17
# SrHf4Se8 (GGA-PBE, relaxed)
data_SrHf4Se8
_chemical_formula_sum 'Sr3 Hf12 Se24'
_cell_length_a 7.5084
_cell_length_b 7.5084
_cell_length_c 22.5239
_cell_angle_alpha 90.00
_cell_angle_beta 90.00
_cell_angle_gamma 120.00
_symmetry_space_group_name_H-M 'R -3 m'
_symmetry_Int_Tables_number 166
_symmetry_space_group_name_Hall '-R 3 2"'
loop_
_atom_site_label
_atom_site_type_symbol
_atom_site_fract_x
_atom_site_fract_y
_atom_site_fract_z
Sr1 Sr 0.0000 0.0000 0.0000
Hf1 Hf 0.0000 0.0000 0.5000
Hf2 Hf 0.0000 0.5000 0.5000
Se1 Se 0.0000 0.0000 0.2370
Se2 Se 0.0051 0.5025 0.2383
# - E_form (uncorrected): -1455 meV per atom
# - D(E_F): 16.3 states/eV per cell
# - Spin magnetization: 0.00 μB per cell
# - Mass density: 6.49 g cm⁻³
# - Distance to the lowest polymorph of the same formula: 0.000 eV per atom

***

Record 18
# SrHf4Se8 (GGA-PBE, relaxed)
data_SrHf4Se8
_chemical_formula_sum 'Sr4 Hf16 Se32'
_cell_length_a 11.366
_cell_length_b 11.366
_cell_length_c 11.366
_cell_angle_alpha 90.00
_cell_angle_beta 90.00
_cell_angle_gamma 90.00
_symmetry_space_group_name_H-M 'F -4 3 m'
_symmetry_Int_Tables_number 216
_symmetry_space_group_name_Hall 'F -4 2 3'
loop_
_atom_site_label
_atom_site_type_symbol
_atom_site_fract_x
_atom_site_fract_y
_atom_site_fract_z
Sr1 Sr 0.000 0.000 0.000
Hf1 Hf 0.117 0.117 0.617
Se1 Se 0.120 0.120 0.380
Se2 Se 0.143 0.143 0.857
# - E_form (uncorrected): -1306 meV per atom
# - D(E_F): 32.8 states/eV per cell
# - Spin magnetization: 0.00 μB per cell
# - Mass density: 6.48 g cm⁻³
# - Distance to the lowest polymorph of the same formula: 0.149 eV per atom

***

Record 19
# SrHfSe3 (GGA-PBE, relaxed)
data_SrHfSe3
_chemical_formula_sum 'Sr1 Hf1 Se3'
_cell_length_a 5.483
_cell_length_b 5.483
_cell_length_c 5.483
_cell_angle_alpha 90.00
_cell_angle_beta 90.00
_cell_angle_gamma 90.00
_symmetry_space_group_name_H-M 'P m -3 m'
_symmetry_Int_Tables_number 221
_symmetry_space_group_name_Hall '-P 4 2 3'
loop_
_atom_site_label
_atom_site_type_symbol
_atom_site_fract_x
_atom_site_fract_y
_atom_site_fract_z
Sr1 Sr 0.000 0.000 0.000
Hf1 Hf 0.500 0.500 0.500
Se1 Se 0.000 0.000 0.500
# - E_form (uncorrected): 455 meV per atom
# - D(E_F): 5.5 states/eV per cell
# - Spin magnetization: 0.00 μB per cell
# - Mass density: 5.07 g cm⁻³
# - Distance to the lowest polymorph of the same formula: 2.065 eV per atom

***

Record 20
# SrHfSe3 (GGA-PBE, relaxed)
data_SrHfSe3
_chemical_formula_sum 'Sr4 Hf4 Se12'
_cell_length_a 13.814
_cell_length_b 9.905
_cell_length_c 3.930
_cell_angle_alpha 90.00
_cell_angle_beta 90.02
_cell_angle_gamma 90.00
_symmetry_space_group_name_H-M 'C 1 2 1'
_symmetry_Int_Tables_number 5
loop_
_symmetry_equiv_pos_as_xyz
'x,y,z'
'-x,y,-z'
'x+1/2,y+1/2,z'
'-x+1/2,y+1/2,-z'
loop_
_atom_site_label
_atom_site_type_symbol
_atom_site_fract_x
_atom_site_fract_y
_atom_site_fract_z
Sr1 Sr 0.000 0.000 0.000
Sr2 Sr 0.000 0.499 0.500
Hf1 Hf 0.250 0.250 0.999
Se1 Se 0.125 0.190 0.499
Se2 Se 0.125 0.811 0.501
Se3 Se 0.176 0.500 0.001
# - E_form (uncorrected): -1541 meV per atom
# - D(E_F): 0.2 states/eV per cell
# - Spin magnetization: 0.00 μB per cell
# - Mass density: 6.21 g cm⁻³
# - Distance to the lowest polymorph of the same formula: 0.069 eV per atom